<1>
# ThMgB4

A relaxed ThMgB4 crystal (PBE, OQMD).

Summary:
Magnetic moment   0.00 μB per cell

a b c (Å): 3.2136 5.5201 8.2230
angles (deg): 90.00 90.00 90.00
Space group Immm (No. 71)
One atom of each set of equivalent atoms:
Th: 0.0000 0.0000 0.0000 [2 per cell]
Mg: 0.0000 0.0000 0.5000 [2 per cell]
B: 0.0000 0.3288 0.2515 [8 per cell]

***

<2>
# ThMgB4

A relaxed ThMgB4 crystal (PBE, OQMD).

Summary:
Magnetic moment   0.01 μB per cell

a b c (Å): 3.1973 3.1973 7.7531
angles (deg): 90.00 90.00 120.00
Space group P6/mmm (No. 191)
One atom of each set of equivalent atoms:
Th: 0.0000 0.0000 0.0000 [1 per cell]
Mg: 0.0000 0.0000 0.5000 [1 per cell]
B: 0.3333 0.6667 0.2762 [4 per cell]

***

Which of them is the least stable? Correct choice: <1>.

***

<1>
# TmMgB4

A relaxed TmMgB4 crystal (PBE, OQMD).

Summary:
Magnetic moment   0.00 μB per cell

a b c (Å): 3.1759 3.1759 7.2621
angles (deg): 90.00 90.00 120.00
Space group P6/mmm (No. 191)
One atom of each set of equivalent atoms:
Tm: 0.0000 0.0000 0.0000 [1 per cell]
Mg: 0.0000 0.0000 0.5000 [1 per cell]
B: 0.3333 0.6667 0.2578 [4 per cell]

***

<2>
# TmMgB4

A relaxed TmMgB4 crystal (PBE, OQMD).

Summary:
Magnetic moment   0.00 μB per cell

a b c (Å): 3.1807 5.4252 7.4414
angles (deg): 90.00 90.00 90.00
Space group Immm (No. 71)
One atom of each set of equivalent atoms:
Tm: 0.0000 0.0000 0.0000 [2 per cell]
Mg: 0.0000 0.0000 0.5000 [2 per cell]
B: 0.0000 0.3290 0.2547 [8 per cell]

***

Which of them is the least stable? Correct choice: <1>.

***

<1>
# TmMgB

A relaxed TmMgB crystal (PBE, OQMD).

Summary:
Magnetic moment   0.00 μB per cell

a b c (Å): 6.0243 6.0243 6.0243
angles (deg): 90.00 90.00 90.00
Space group F-43m (No. 216)
One atom of each set of equivalent atoms:
Tm: 0.0000 0.0000 0.0000 [4 per cell]
Mg: 0.0000 0.0000 0.5000 [4 per cell]
B: 0.2500 0.2500 0.7500 [4 per cell]

***

<2>
# TmMgB

A relaxed TmMgB crystal (PBE, OQMD).

Summary:
Magnetic moment   0.00 μB per cell

a b c (Å): 6.2756 6.2756 6.2756
angles (deg): 90.00 90.00 90.00
Space group F-43m (No. 216)
One atom of each set of equivalent atoms:
Tm: 0.0000 0.0000 0.0000 [4 per cell]
Mg: 0.2500 0.2500 0.2500 [4 per cell]
B: 0.2500 0.2500 0.7500 [4 per cell]

***

<3>
# TmMgB

A relaxed TmMgB crystal (PBE, OQMD).

Summary:
Magnetic moment   0.00 μB per cell

a b c (Å): 6.0618 6.0618 6.0618
angles (deg): 90.00 90.00 90.00
Space group F-43m (No. 216)
One atom of each set of equivalent atoms:
Tm: 0.0000 0.0000 0.0000 [4 per cell]
Mg: 0.2500 0.2500 0.7500 [4 per cell]
B: 0.0000 0.0000 0.5000 [4 per cell]

***

Which of them is the least stable? Correct choice: <2>.

***

<1>
# MgB4W

A relaxed MgB4W crystal (PBE, OQMD).

Summary:
Magnetic moment   0.00 μB per cell

a b c (Å): 6.0835 11.5226 3.3583
angles (deg): 90.00 90.00 90.00
Space group Pbam (No. 55)
One atom of each set of equivalent atoms:
Mg: 0.1178 0.1503 0.0000 [4 per cell]
B: 0.0104 0.7001 0.5000 [4 per cell]
B: 0.1216 0.5547 0.5000 [4 per cell]
B: 0.1283 0.9716 0.5000 [4 per cell]
B: 0.1947 0.8138 0.5000 [4 per cell]
W: 0.1360 0.4135 0.0000 [4 per cell]

***

<2>
# MgB4W

A relaxed MgB4W crystal (PBE, OQMD).

Summary:
Magnetic moment   0.00 μB per cell

a b c (Å): 3.0001 3.0001 6.9974
angles (deg): 90.00 90.00 120.00
Space group P6/mmm (No. 191)
One atom of each set of equivalent atoms:
Mg: 0.0000 0.0000 0.0000 [1 per cell]
B: 0.3333 0.6667 0.2565 [4 per cell]
W: 0.0000 0.0000 0.5000 [1 per cell]

***

Which of them is the least stable? Correct choice: <1>.

***

<1>
# MgZnB

A relaxed MgZnB crystal (PBE, OQMD).

a b c (Å): 5.4908 5.4908 5.4908
angles (deg): 90.00 90.00 90.00
Space group F-43m (No. 216)
One atom of each set of equivalent atoms:
Mg: 0.0000 0.0000 0.0000 [4 per cell]
Zn: 0.0000 0.0000 0.5000 [4 per cell]
B: 0.2500 0.2500 0.2500 [4 per cell]

***

<2>
# MgZnB

A relaxed MgZnB crystal (PBE, OQMD).

a b c (Å): 5.7748 5.7748 5.7748
angles (deg): 90.00 90.00 90.00
Space group F-43m (No. 216)
One atom of each set of equivalent atoms:
Mg: 0.0000 0.0000 0.0000 [4 per cell]
Zn: 0.2500 0.2500 0.2500 [4 per cell]
B: 0.2500 0.2500 0.7500 [4 per cell]

***

Which of them is the least stable? Correct choice: <2>.

***

<1>
# BMo

A relaxed BMo crystal (PBE, OQMD).

Summary:
Magnetic moment   0.00 μB per cell

a b c (Å): 2.9575 2.9575 3.0087
angles (deg): 90.00 90.00 120.00
Space group P-6m2 (No. 187)
One atom of each set of equivalent atoms:
B: 0.0000 0.0000 0.0000 [1 per cell]
Mo: 0.6667 0.3333 0.5000 [1 per cell]

***

<2>
# BMo

A relaxed BMo crystal (PBE, OQMD).

Summary:
Magnetic moment   0.01 μB per cell

a b c (Å): 3.1266 3.1266 17.0459
angles (deg): 90.00 90.00 90.00
Space group I4_1/amd (No. 141, origin choice 2)
One atom of each set of equivalent atoms:
B: 0.0000 0.2500 0.0303 [8 per cell]
Mo: 0.0000 0.2500 0.1781 [8 per cell]

***

Which of them is the least stable? Correct choice: <1>.

***

<1>
# BMo

A relaxed BMo crystal (PBE, OQMD).

Summary:
Magnetic moment   0.00 μB per cell

a b c (Å): 4.4646 4.4646 4.4646
angles (deg): 90.00 90.00 90.00
Space group Fm-3m (No. 225)
One atom of each set of equivalent atoms:
B: 0.0000 0.0000 0.0000 [4 per cell]
Mo: 0.0000 0.0000 0.5000 [4 per cell]

***

<2>
# BMo

A relaxed BMo crystal (PBE, OQMD).

Summary:
Magnetic moment   0.00 μB per cell

a b c (Å): 3.1277 3.1277 17.0213
angles (deg): 90.00 90.00 90.00
Space group I4_1/amd (No. 141, origin choice 2)
One atom of each set of equivalent atoms:
B: 0.0000 0.2500 0.0305 [8 per cell]
Mo: 0.0000 0.2500 0.1779 [8 per cell]

***

Which of them is the least stable? Correct choice: <1>.

***

<1>
# BMo

A relaxed BMo crystal (PBE, OQMD).

Summary:
Magnetic moment   0.00 μB per cell

a b c (Å): 3.1359 3.1359 7.7915
angles (deg): 90.00 90.00 120.00
Space group R-3m (No. 166, hexagonal axes)
One atom of each set of equivalent atoms:
B: 0.0000 0.0000 0.0000 [3 per cell]
Mo: 0.0000 0.0000 0.5000 [3 per cell]

***

<2>
# BMo

A relaxed BMo crystal (PBE, OQMD).

Summary:
Magnetic moment   0.10 μB per cell

a b c (Å): 4.8305 4.8305 4.8305
angles (deg): 90.00 90.00 90.00
Space group F-43m (No. 216)
One atom of each set of equivalent atoms:
B: 0.0000 0.0000 0.0000 [4 per cell]
Mo: 0.2500 0.2500 0.7500 [4 per cell]

***

Which of them is the least stable? Correct choice: <2>.

***

<1>
# NbNiBMo

A relaxed NbNiBMo crystal (PBE, OQMD).

Summary:
Magnetic moment   0.00 μB per cell

a b c (Å): 5.9002 5.9002 5.9002
angles (deg): 90.00 90.00 90.00
Space group F-43m (No. 216)
One atom of each set of equivalent atoms:
Nb: 0.0000 0.0000 0.0000 [4 per cell]
Ni: 0.2500 0.2500 0.7500 [4 per cell]
B: 0.2500 0.2500 0.2500 [4 per cell]
Mo: 0.0000 0.0000 0.5000 [4 per cell]

***

<2>
# NbNiBMo

A relaxed NbNiBMo crystal (PBE, OQMD).

Summary:
Magnetic moment   0.00 μB per cell

a b c (Å): 5.9458 5.9458 5.9458
angles (deg): 90.00 90.00 90.00
Space group F-43m (No. 216)
One atom of each set of equivalent atoms:
Nb: 0.0000 0.0000 0.0000 [4 per cell]
Ni: 0.2500 0.2500 0.7500 [4 per cell]
B: 0.0000 0.0000 0.5000 [4 per cell]
Mo: 0.2500 0.2500 0.2500 [4 per cell]

***

Which of them is the least stable? Correct choice: <2>.

***

<1>
# NiB4Mo

A relaxed NiB4Mo crystal (PBE, OQMD).

Summary:
Magnetic moment   0.03 μB per cell

a b c (Å): 2.9872 5.2782 6.4392
angles (deg): 90.00 90.00 90.00
Space group Immm (No. 71)
One atom of each set of equivalent atoms:
Ni: 0.0000 0.0000 0.0000 [2 per cell]
B: 0.0000 0.3312 0.2493 [8 per cell]
Mo: 0.0000 0.0000 0.5000 [2 per cell]

***

<2>
# NiB4Mo

A relaxed NiB4Mo crystal (PBE, OQMD).

Summary:
Magnetic moment   0.00 μB per cell

a b c (Å): 2.9835 2.9835 6.5028
angles (deg): 90.00 90.00 120.00
Space group P6/mmm (No. 191)
One atom of each set of equivalent atoms:
Ni: 0.0000 0.0000 0.0000 [1 per cell]
B: 0.3333 0.6667 0.2408 [4 per cell]
Mo: 0.0000 0.0000 0.5000 [1 per cell]

***

Which of them is the least stable? Correct choice: <1>.

***

<1>
# NiBMo2

A relaxed NiBMo2 crystal (PBE, OQMD).

Summary:
Magnetic moment   0.33 μB per cell

a b c (Å): 5.8758 5.8758 5.8758
angles (deg): 90.00 90.00 90.00
Space group F-43m (No. 216)
One atom of each set of equivalent atoms:
Ni: 0.0000 0.0000 0.0000 [4 per cell]
B: 0.2500 0.2500 0.2500 [4 per cell]
Mo: 0.0000 0.0000 0.5000 [4 per cell]
Mo: 0.2500 0.2500 0.7500 [4 per cell]

***

<2>
# NiBMo2

A relaxed NiBMo2 crystal (PBE, OQMD).

Summary:
Magnetic moment   0.00 μB per cell

a b c (Å): 3.0654 3.0654 12.7212
angles (deg): 90.00 90.00 120.00
Space group P6_3/mmc (No. 194)
One atom of each set of equivalent atoms:
Ni: 0.3333 0.6667 0.2500 [2 per cell]
B: 0.0000 0.0000 0.0000 [2 per cell]
Mo: 0.3333 0.6667 0.5956 [4 per cell]

***

Which of them is the least stable? Correct choice: <1>.

***

<1>
# NiBMoPd

A relaxed NiBMoPd crystal (PBE, OQMD).

Summary:
Magnetic moment   0.03 μB per cell

a b c (Å): 5.8133 5.8133 5.8133
angles (deg): 90.00 90.00 90.00
Space group F-43m (No. 216)
One atom of each set of equivalent atoms:
Ni: 0.0000 0.0000 0.0000 [4 per cell]
B: 0.2500 0.2500 0.7500 [4 per cell]
Mo: 0.0000 0.0000 0.5000 [4 per cell]
Pd: 0.2500 0.2500 0.2500 [4 per cell]

***

<2>
# NiBMoPd

A relaxed NiBMoPd crystal (PBE, OQMD).

Summary:
Magnetic moment   0.01 μB per cell

a b c (Å): 5.7570 5.7570 5.7570
angles (deg): 90.00 90.00 90.00
Space group F-43m (No. 216)
One atom of each set of equivalent atoms:
Ni: 0.0000 0.0000 0.0000 [4 per cell]
B: 0.0000 0.0000 0.5000 [4 per cell]
Mo: 0.2500 0.2500 0.7500 [4 per cell]
Pd: 0.2500 0.2500 0.2500 [4 per cell]

***

Which of them is the least stable? Correct choice: <1>.